Computed, not measured: crystalline La6Pm2PrSc at its relaxed geometry at the PBE-GGA level of DFT.

Summary:
VASP energy ... -48.26 eV per formula unit
Calculated formation energy ... 0.192 eV/atom
Crystal system ... monoclinic

Lattice parameters (Å, degrees): 10.194 7.424 9.452 90.00 99.62 90.00
Space group C2/m (No. 12)
Symmetry-distinct sites (fractional):
La 0.132 0.000 0.127 (multiplicity 4)
La 0.134 0.225 0.766 (multiplicity 8)
Pm 0.156 0.500 0.447 (multiplicity 4)
Pr 0.000 0.500 0.000 (multiplicity 2)
Sc 0.000 0.000 0.500 (multiplicity 2)